No. 1
VASP calculation (GGA-PBE) on a geometry-optimized CsNbCd structure.

Properties
Relative energy among the computed polymorphs, meV per atom: 222.2
ΔH_f (0 K), eV per atom: 0.61
Size of the total moment, Bohr magnetons per cell: 0.000
Uncorrected energy, eV per atom: -3.336

CIF file:
```
data_CsNbCd
_space_group_name_H-M_alt 'C m c m'
_space_group_IT_number 63
_space_group_name_Hall '-C 2c 2'
_cell_length_a 5.3472
_cell_length_b 14.9739
_cell_length_c 5.1725
_cell_angle_alpha 90.00
_cell_angle_beta 90.00
_cell_angle_gamma 90.00
loop_
_atom_site_label
_atom_site_type_symbol
_atom_site_fract_x
_atom_site_fract_y
_atom_site_fract_z
_atom_site_occupancy
Cs1 Cs 0.0000 0.2141 0.2500 1
Nb1 Nb 0.0000 0.5000 0.0000 1
Cd1 Cd 0.0000 0.0395 0.7500 1
```

No. 2
VASP calculation (GGA-PBE) on a geometry-optimized AsPBr2 structure.

Properties
Relative energy among the computed polymorphs, meV per atom: 789.5
Raw formation energy, eV per atom: 0.627
Size of the total moment, Bohr magnetons per cell: 0.000
Uncorrected energy, eV per atom: -2.725

CIF file:
```
data_AsPBr2
_space_group_name_H-M_alt 'C m m m'
_space_group_IT_number 65
_space_group_name_Hall '-C 2 2'
_cell_length_a 3.3277
_cell_length_b 6.0528
_cell_length_c 9.0485
_cell_angle_alpha 90.00
_cell_angle_beta 90.00
_cell_angle_gamma 90.00
loop_
_atom_site_label
_atom_site_type_symbol
_atom_site_fract_x
_atom_site_fract_y
_atom_site_fract_z
_atom_site_occupancy
As1 As 0.0000 0.0000 0.0000 1
P1 P 0.0000 0.0000 0.5000 1
Br1 Br 0.0000 0.5000 0.2766 1
```

No. 3
VASP calculation (GGA-PBE) on a geometry-optimized Na12Cd2In structure.

Properties
ΔH_f (0 K), eV per atom: 0.10
Size of the total moment, Bohr magnetons per cell: 0.000
Uncorrected energy, eV per atom: -1.262

CIF file:
```
data_Na12Cd2In
_space_group_name_H-M_alt 'P 4/n b m'
_space_group_IT_number 125
_cell_length_a 6.7277
_cell_length_b 6.7277
_cell_length_c 24.5570
_cell_angle_alpha 90.00
_cell_angle_beta 90.00
_cell_angle_gamma 90.00
loop_
_space_group_symop_operation_xyz
'x,y,z'
'-x,-y,-z'
'-y+1/2,x,z'
'y+1/2,-x,-z'
'-x+1/2,-y+1/2,z'
'x+1/2,y+1/2,-z'
'y,-x+1/2,z'
'-y,x+1/2,-z'
'x,-y+1/2,-z'
'-x,y+1/2,z'
'-y+1/2,-x+1/2,-z'
'y+1/2,x+1/2,z'
'-x+1/2,y,-z'
'x+1/2,-y,z'
'y,x,-z'
'-y,-x,z'
loop_
_atom_site_label
_atom_site_type_symbol
_atom_site_fract_x
_atom_site_fract_y
_atom_site_fract_z
_atom_site_occupancy
Na1 Na 0.0000 0.0000 0.0880 1
Na2 Na 0.0704 0.5704 0.4343 1
Na3 Na 0.2500 0.2500 0.1953 1
Na4 Na 0.2500 0.2500 0.3245 1
Cd1 Cd 0.2500 0.7500 0.1947 1
In1 In 0.2500 0.7500 0.0000 1
```

No. 4
VASP calculation (GGA-PBE) on a geometry-optimized ZrAsI2 structure.

Properties
Relative energy among the computed polymorphs, meV per atom: 146.9
Raw formation energy, eV per atom: -0.637
Size of the total moment, Bohr magnetons per cell: 0.000
Uncorrected energy, eV per atom: -4.711

CIF file:
```
data_ZrAsI2
_space_group_name_H-M_alt 'C 1 m 1'
_space_group_IT_number 8
_cell_length_a 7.7629
_cell_length_b 13.1961
_cell_length_c 7.1958
_cell_angle_alpha 90.00
_cell_angle_beta 92.74
_cell_angle_gamma 90.00
loop_
_space_group_symop_operation_xyz
'x,y,z'
'x,-y,z'
'x+1/2,y+1/2,z'
'x+1/2,-y+1/2,z'
loop_
_atom_site_label
_atom_site_type_symbol
_atom_site_fract_x
_atom_site_fract_y
_atom_site_fract_z
_atom_site_occupancy
Zr1 Zr 0.0000 0.0000 0.0000 1
Zr2 Zr 0.9997 0.0000 0.4835 1
As1 As 0.1882 0.0972 0.2516 1
I1 I 0.1907 0.5000 0.2258 1
I2 I 0.2924 0.0000 0.7570 1
I3 I 0.3641 0.3385 0.7345 1
```

No. 5
VASP calculation (GGA-PBE) on a geometry-optimized Li6CdSn5 structure.

Properties
ΔH_f (0 K), eV per atom: -0.31
Size of the total moment, Bohr magnetons per cell: 0.000
Uncorrected energy, eV per atom: -3.014

CIF file:
```
data_Li6CdSn5
_space_group_name_H-M_alt 'C 1 2/m 1'
_space_group_IT_number 12
_cell_length_a 4.7634
_cell_length_b 14.4028
_cell_length_c 6.9442
_cell_angle_alpha 90.00
_cell_angle_beta 90.06
_cell_angle_gamma 90.00
loop_
_space_group_symop_operation_xyz
'x,y,z'
'-x,-y,-z'
'-x,y,-z'
'x,-y,z'
'x+1/2,y+1/2,z'
'-x+1/2,-y+1/2,-z'
'-x+1/2,y+1/2,-z'
'x+1/2,-y+1/2,z'
loop_
_atom_site_label
_atom_site_type_symbol
_atom_site_fract_x
_atom_site_fract_y
_atom_site_fract_z
_atom_site_occupancy
Li1 Li 0.0002 0.0000 0.2473 1
Li2 Li 0.9999 0.3331 0.2560 1
Cd1 Cd 0.0000 0.5000 0.5000 1
Sn1 Sn 0.0000 0.1615 0.5000 1
Sn2 Sn 0.0000 0.1672 0.0000 1
Sn3 Sn 0.0000 0.5000 0.0000 1
```

No. 6
VASP calculation (GGA-PBE) on a geometry-optimized Tb5Tm4In structure.

Properties
Relative energy among the computed polymorphs, meV per atom: 221.8
ΔH_f (0 K), eV per atom: 0.15
Size of the total moment, Bohr magnetons per cell: 0.000
Uncorrected energy, eV per atom: -4.231

CIF file:
```
data_Tb5Tm4In
_space_group_name_H-M_alt 'I 4 m m'
_space_group_IT_number 107
_space_group_name_Hall 'I 4 -2'
_cell_length_a 10.5225
_cell_length_b 10.5225
_cell_length_c 5.7772
_cell_angle_alpha 90.00
_cell_angle_beta 90.00
_cell_angle_gamma 90.00
loop_
_atom_site_label
_atom_site_type_symbol
_atom_site_fract_x
_atom_site_fract_y
_atom_site_fract_z
_atom_site_occupancy
Tb1 Tb 0.0000 0.0000 0.0000 1
Tb2 Tb 0.1864 0.1864 0.7142 1
Tm1 Tm 0.0000 0.3175 0.2087 1
In1 In 0.0000 0.0000 0.4815 1
```

No. 7
VASP calculation (GGA-PBE) on a geometry-optimized MgFe2Br structure.

Properties
Relative energy among the computed polymorphs, meV per atom: 143.0
Raw formation energy, eV per atom: 0.256
Size of the total moment, Bohr magnetons per cell: 10.362
Uncorrected energy, eV per atom: -4.792

CIF file:
```
data_MgFe2Br
_space_group_name_H-M_alt 'C 1 m 1'
_space_group_IT_number 8
_cell_length_a 7.9435
_cell_length_b 3.2312
_cell_length_c 6.3482
_cell_angle_alpha 90.00
_cell_angle_beta 97.71
_cell_angle_gamma 90.00
loop_
_space_group_symop_operation_xyz
'x,y,z'
'x,-y,z'
'x+1/2,y+1/2,z'
'x+1/2,-y+1/2,z'
loop_
_atom_site_label
_atom_site_type_symbol
_atom_site_fract_x
_atom_site_fract_y
_atom_site_fract_z
_atom_site_occupancy
Mg1 Mg 0.0000 0.0000 0.0000 1
Fe1 Fe 0.1826 0.5000 0.7546 1
Fe2 Fe 0.3746 0.0000 0.6642 1
Br1 Br 0.0453 0.5000 0.3501 1
```

No. 8
VASP calculation (GGA-PBE) on a geometry-optimized LaAgGe4 structure.

Properties
ΔH_f (0 K), eV per atom: -0.17
Size of the total moment, Bohr magnetons per cell: 0.000
Uncorrected energy, eV per atom: -4.544

CIF file:
```
data_LaAgGe4
_space_group_name_H-M_alt 'F -4 3 m'
_space_group_IT_number 216
_space_group_name_Hall 'F -4 2 3'
_cell_length_a 8.0020
_cell_length_b 8.0020
_cell_length_c 8.0020
_cell_angle_alpha 90.00
_cell_angle_beta 90.00
_cell_angle_gamma 90.00
loop_
_atom_site_label
_atom_site_type_symbol
_atom_site_fract_x
_atom_site_fract_y
_atom_site_fract_z
_atom_site_occupancy
La1 La 0.0000 0.0000 0.0000 1
Ag1 Ag 0.2500 0.2500 0.2500 1
Ge1 Ge 0.1241 0.1241 0.6241 1
```